The following is a SCAN calculation of a crystal of InAg2Pt relaxed with PBEsol, from the Alexandria database.

## Properties
- SG = P4/mmm
- density (Mg/m³) = 12.9
- V (Å³/cell) = 67.4
- total moment (μB per atom) = 0.000
- crystal system = tetragonal
- energy of formation (meV/atom) = -186

Unit cell a=3.9758 b=3.9758 c=4.2670 alpha=90.00 beta=90.00 gamma=90.00
Fractional positions:
Ag 0.0000 0.5000 0.0000
Ag 0.5000 0.0000 0.0000
Pt 0.0000 0.0000 0.5000
In 0.5000 0.5000 0.5000